{"formula": "Tm3Cu4", "functional": "PBE", "state": "relaxed", "final_energy_ev_per_cell": -63.1, "sg": "No. 63", "dos_at_fermi_per_ev_cell": 11.1, "lattice_angstrom": [[3.835, -0.001, 0.000], [-1.919, 5.047, 0.000], [0.000, 0.000, 13.929]], "species": ["Cu", "Tm", "Cu", "Cu", "Tm", "Cu", "Tm", "Tm", "Cu", "Cu", "Cu", "Cu", "Tm", "Tm"], "frac_coords": [[0.405, 0.811, 0.403], [0.971, 0.943, 0.250], [0.598, 0.194, 0.903], [0.259, 0.520, 0.250], [0.691, 0.381, 0.099], [0.001, 0.002, 0.000], [0.690, 0.381, 0.402], [0.312, 0.624, 0.902], [0.743, 0.485, 0.750], [0.001, 0.002, 0.500], [0.405, 0.811, 0.098], [0.598, 0.194, 0.598], [0.312, 0.623, 0.599], [0.031, 0.061, 0.750]]}


{"formula": "Tm5Cu", "functional": "PBE", "state": "relaxed", "final_energy_ev_per_cell": -25.9, "sg": "No. 65", "dos_at_fermi_per_ev_cell": 8.0, "lattice_angstrom": [[4.781, 0.000, 0.000], [0.000, 4.578, 0.000], [0.000, -2.289, 7.266]], "species": ["Tm", "Tm", "Tm", "Tm", "Cu", "Tm"], "frac_coords": [[0.000, 0.342, 0.683], [0.500, 0.168, 0.336], [0.500, 0.500, 0.000], [0.000, 0.658, 0.317], [0.000, 0.000, 0.000], [0.500, 0.832, 0.664]]}


{"formula": "Tm5Cu3", "functional": "PBE", "state": "relaxed", "final_energy_ev_per_cell": -36.2, "sg": "No. 123", "dos_at_fermi_per_ev_cell": 8.4, "lattice_angstrom": [[3.413, 0.000, 0.000], [0.000, 3.413, 0.000], [0.000, 0.000, 15.595]], "species": ["Tm", "Tm", "Tm", "Cu", "Tm", "Cu", "Tm", "Cu"], "frac_coords": [[0.500, 0.500, 0.609], [0.000, 0.000, 0.000], [0.500, 0.500, 0.391], [0.500, 0.500, 0.890], [0.000, 0.000, 0.219], [0.000, 0.000, 0.500], [0.000, 0.000, 0.781], [0.500, 0.500, 0.110]]}


{"formula": "Tm2Cu3", "functional": "PBE", "state": "relaxed", "final_energy_ev_per_cell": -45.1, "sg": "No. 63", "dos_at_fermi_per_ev_cell": 6.2, "lattice_angstrom": [[3.433, 0.000, -0.565], [0.000, 4.280, 0.000], [0.348, 0.000, 12.821]], "species": ["Cu", "Cu", "Tm", "Cu", "Tm", "Tm", "Tm", "Cu", "Cu", "Cu"], "frac_coords": [[0.828, 0.250, 0.656], [0.172, 0.750, 0.344], [0.295, 0.750, 0.590], [0.023, 0.250, 0.045], [0.705, 0.250, 0.410], [0.428, 0.250, 0.857], [0.572, 0.750, 0.143], [0.977, 0.750, 0.955], [0.118, 0.250, 0.236], [0.882, 0.750, 0.764]]}


{"formula": "TmCu12", "functional": "PBE", "state": "relaxed", "final_energy_ev_per_cell": -54.7, "sg": "No. 139", "dos_at_fermi_per_ev_cell": 5.2, "lattice_angstrom": [[4.849, 0.000, 0.000], [2.425, 5.961, 0.000], [2.425, 0.000, 5.961]], "species": ["Cu", "Cu", "Cu", "Cu", "Cu", "Cu", "Cu", "Cu", "Cu", "Tm", "Cu", "Cu", "Cu"], "frac_coords": [[0.500, 0.500, 0.000], [0.000, 0.000, 0.500], [0.500, 0.000, 0.500], [0.500, 0.220, 0.780], [0.720, 0.780, 0.780], [0.646, 0.354, 0.354], [0.000, 0.500, 0.000], [0.354, 0.646, 0.646], [0.000, 0.646, 0.354], [0.000, 0.000, 0.000], [0.280, 0.220, 0.220], [0.500, 0.780, 0.220], [0.000, 0.354, 0.646]]}


{"formula": "Tm6Cu5", "functional": "PBE", "state": "relaxed", "final_energy_ev_per_cell": -49.6, "sg": "No. 71", "dos_at_fermi_per_ev_cell": 6.2, "lattice_angstrom": [[4.599, 0.005, -1.424], [-0.785, 6.268, -2.514], [0.056, -0.343, 8.322]], "species": ["Tm", "Tm", "Tm", "Tm", "Cu", "Cu", "Cu", "Cu", "Cu", "Tm", "Tm"], "frac_coords": [[0.500, 0.251, 0.000], [0.835, 0.085, 0.670], [0.165, 0.915, 0.330], [0.835, 0.585, 0.670], [0.331, 0.331, 0.662], [0.669, 0.669, 0.338], [0.000, 0.500, 0.000], [0.671, 0.171, 0.342], [0.329, 0.829, 0.658], [0.165, 0.415, 0.330], [0.500, 0.749, 0.000]]}


{"formula": "Tm2VCu", "functional": "PBE", "state": "relaxed", "final_energy_ev_per_cell": -22.0, "sg": "No. 123", "dos_at_fermi_per_ev_cell": 2.6, "lattice_angstrom": [[-2.769, 1.449, -1.610], [-1.147, -3.197, -0.905], [-3.548, -0.361, 5.775]], "species": ["Cu", "Tm", "Tm", "V"], "frac_coords": [[0.500, 0.500, 0.500], [0.000, 0.000, 0.253], [0.000, 0.000, 0.747], [0.500, 0.500, 0.000]]}


{"formula": "Tm2VCu", "functional": "PBE", "state": "relaxed", "final_energy_ev_per_cell": -20.9, "sg": "No. 166", "dos_at_fermi_per_ev_cell": 4.0, "lattice_angstrom": [[-1.834, -2.833, 0.091], [0.408, -2.194, 2.534], [-6.690, 2.494, 5.486]], "species": ["Cu", "Tm", "V", "Tm"], "frac_coords": [[0.500, 0.500, 0.500], [0.248, 0.248, 0.256], [0.000, 0.000, 0.000], [0.752, 0.752, 0.744]]}


{"formula": "Y2TmCu", "functional": "PBE", "state": "relaxed", "final_energy_ev_per_cell": -19.7, "sg": "No. 166", "dos_at_fermi_per_ev_cell": 4.9, "lattice_angstrom": [[-0.832, -2.165, 2.557], [2.329, -2.263, 1.172], [4.011, 6.018, 8.733]], "species": ["Tm", "Cu", "Y", "Y"], "frac_coords": [[0.500, 0.500, 0.500], [0.000, 0.000, 0.000], [0.917, 0.917, 0.248], [0.083, 0.083, 0.752]]}


{"formula": "YTmCu2", "functional": "PBE", "state": "relaxed", "final_energy_ev_per_cell": -20.2, "sg": "No. 225", "dos_at_fermi_per_ev_cell": 2.3, "lattice_angstrom": [[4.882, 0.000, 0.000], [2.441, 4.228, 0.000], [2.441, 1.409, 3.986]], "species": ["Tm", "Cu", "Cu", "Y"], "frac_coords": [[0.500, 0.500, 0.500], [0.250, 0.250, 0.250], [0.750, 0.750, 0.750], [0.000, 0.000, 0.000]]}


{"formula": "YTmCu3", "functional": "PBE", "state": "relaxed", "final_energy_ev_per_cell": -49.0, "sg": "No. 63", "dos_at_fermi_per_ev_cell": 6.9, "lattice_angstrom": [[-0.642, -0.070, 3.542], [3.229, -2.758, 0.530], [8.297, 9.688, -0.135]], "species": ["Cu", "Y", "Cu", "Tm", "Cu", "Cu", "Y", "Tm", "Cu", "Cu"], "frac_coords": [[0.477, 0.250, 0.953], [0.072, 0.250, 0.144], [0.674, 0.250, 0.347], [0.205, 0.750, 0.410], [0.326, 0.750, 0.653], [0.523, 0.750, 0.047], [0.928, 0.750, 0.856], [0.795, 0.250, 0.590], [0.381, 0.250, 0.761], [0.619, 0.750, 0.239]]}


{"formula": "YTmCu", "functional": "PBE", "state": "relaxed", "final_energy_ev_per_cell": -30.9, "sg": "No. 12", "dos_at_fermi_per_ev_cell": 8.1, "lattice_angstrom": [[-1.243, 1.267, -2.963], [2.356, -5.561, -3.366], [-5.324, -2.115, 3.345]], "species": ["Cu", "Tm", "Tm", "Cu", "Y", "Y"], "frac_coords": [[0.937, 0.819, 0.642], [0.300, 0.983, 0.367], [0.577, 0.121, 0.921], [0.940, 0.285, 0.647], [0.577, 0.621, 0.921], [0.301, 0.483, 0.368]]}


{"formula": "YTm4Cu5", "functional": "PBE", "state": "relaxed", "final_energy_ev_per_cell": -47.7, "sg": "No. 123", "dos_at_fermi_per_ev_cell": 4.1, "lattice_angstrom": [[3.408, 0.000, 0.000], [0.000, 3.408, 0.000], [0.000, 0.000, 17.348]], "species": ["Y", "Cu", "Cu", "Cu", "Tm", "Cu", "Cu", "Tm", "Tm", "Tm"], "frac_coords": [[0.000, 0.000, 0.000], [0.500, 0.500, 0.105], [0.500, 0.500, 0.895], [0.500, 0.500, 0.699], [0.000, 0.000, 0.599], [0.500, 0.500, 0.500], [0.500, 0.500, 0.301], [0.000, 0.000, 0.401], [0.000, 0.000, 0.202], [0.000, 0.000, 0.798]]}


{"formula": "YTmCu", "functional": "PBE", "state": "relaxed", "final_energy_ev_per_cell": -31.0, "sg": "No. 12", "dos_at_fermi_per_ev_cell": 6.7, "lattice_angstrom": [[-0.159, -0.641, -6.500], [3.188, 0.594, -5.672], [3.267, -6.101, -4.108]], "species": ["Tm", "Y", "Cu", "Cu", "Y", "Tm"], "frac_coords": [[0.099, 0.099, 0.110], [0.655, 0.655, 0.437], [0.619, 0.619, 0.828], [0.381, 0.381, 0.172], [0.345, 0.345, 0.563], [0.901, 0.901, 0.890]]}


{"formula": "YTmCu5", "functional": "PBE", "state": "relaxed", "final_energy_ev_per_cell": -132.0, "sg": "No. 62", "dos_at_fermi_per_ev_cell": 14.1, "lattice_angstrom": [[-4.614, -1.927, 0.796], [3.106, -4.876, 6.202], [-2.038, 7.847, 7.190]], "species": ["Y", "Cu", "Cu", "Cu", "Cu", "Y", "Cu", "Cu", "Cu", "Cu", "Cu", "Y", "Cu", "Cu", "Cu", "Cu", "Cu", "Cu", "Cu", "Cu", "Cu", "Tm", "Y", "Cu", "Cu", "Tm", "Tm", "Tm"], "frac_coords": [[0.750, 0.745, 0.055], [0.750, 0.915, 0.521], [0.750, 0.805, 0.736], [0.750, 0.549, 0.612], [0.750, 0.415, 0.979], [0.750, 0.245, 0.445], [0.000, 0.069, 0.683], [0.250, 0.695, 0.236], [0.500, 0.431, 0.183], [0.250, 0.085, 0.479], [0.500, 0.569, 0.817], [0.250, 0.255, 0.945], [0.250, 0.585, 0.021], [0.500, 0.069, 0.683], [0.750, 0.305, 0.764], [0.000, 0.931, 0.317], [0.250, 0.451, 0.388], [0.250, 0.195, 0.264], [0.750, 0.049, 0.888], [0.000, 0.431, 0.183], [0.250, 0.951, 0.112], [0.750, 0.634, 0.359], [0.250, 0.755, 0.555], [0.500, 0.931, 0.317], [0.000, 0.569, 0.817], [0.250, 0.366, 0.641], [0.750, 0.134, 0.141], [0.250, 0.866, 0.859]]}


{"formula": "YTm2Cu", "functional": "PBE", "state": "relaxed", "final_energy_ev_per_cell": -80.0, "sg": "No. 62", "dos_at_fermi_per_ev_cell": 19.4, "lattice_angstrom": [[-5.214, -1.330, -3.488], [2.996, -5.629, -2.332], [-3.654, -4.998, 7.369]], "species": ["Tm", "Tm", "Tm", "Tm", "Cu", "Y", "Y", "Tm", "Tm", "Tm", "Cu", "Cu", "Y", "Y", "Cu", "Tm"], "frac_coords": [[0.814, 0.311, 0.560], [0.186, 0.689, 0.440], [0.186, 0.689, 0.060], [0.686, 0.811, 0.940], [0.943, 0.596, 0.750], [0.370, 0.484, 0.750], [0.130, 0.984, 0.750], [0.686, 0.811, 0.560], [0.314, 0.189, 0.440], [0.314, 0.189, 0.060], [0.557, 0.096, 0.750], [0.443, 0.904, 0.250], [0.870, 0.016, 0.250], [0.630, 0.516, 0.250], [0.057, 0.404, 0.250], [0.814, 0.311, 0.940]]}


{"formula": "Y2TmCu", "functional": "PBE", "state": "relaxed", "final_energy_ev_per_cell": -21.4, "sg": "No. 160", "dos_at_fermi_per_ev_cell": 4.8, "lattice_angstrom": [[3.654, 0.000, 0.000], [1.827, 3.164, 0.000], [1.827, 1.055, 9.636]], "species": ["Tm", "Y", "Cu", "Y"], "frac_coords": [[0.501, 0.501, 0.498], [0.068, 0.068, 0.796], [0.666, 0.666, 0.002], [0.265, 0.265, 0.204]]}


{"formula": "YTmCu", "functional": "PBE", "state": "relaxed", "final_energy_ev_per_cell": -15.5, "sg": "No. 107", "dos_at_fermi_per_ev_cell": 3.9, "lattice_angstrom": [[-2.865, -1.781, -0.777], [1.479, -1.099, -2.931], [2.929, -3.447, 4.814]], "species": ["Y", "Cu", "Tm"], "frac_coords": [[0.026, 0.026, 0.052], [0.672, 0.672, 0.344], [0.302, 0.302, 0.605]]}


{"formula": "YTm3Cu4", "functional": "PBE", "state": "relaxed", "final_energy_ev_per_cell": -38.5, "sg": "No. 47", "dos_at_fermi_per_ev_cell": 4.4, "lattice_angstrom": [[3.418, 0.000, 0.000], [0.000, 4.867, 0.000], [0.000, 0.000, 9.737]], "species": ["Cu", "Tm", "Tm", "Y", "Cu", "Cu", "Cu", "Tm"], "frac_coords": [[0.000, 0.500, 0.745], [0.500, 0.500, 0.500], [0.500, 0.000, 0.749], [0.500, 0.500, 0.000], [0.000, 0.000, 0.500], [0.000, 0.000, 0.000], [0.000, 0.500, 0.255], [0.500, 0.000, 0.251]]}


{"formula": "Y2TmCu", "functional": "PBE", "state": "relaxed", "final_energy_ev_per_cell": -21.8, "sg": "No. 123", "dos_at_fermi_per_ev_cell": 5.4, "lattice_angstrom": [[3.490, 0.000, 0.000], [0.000, 3.490, 0.000], [0.000, 0.000, 8.676]], "species": ["Y", "Y", "Tm", "Cu"], "frac_coords": [[0.000, 0.000, 0.201], [0.000, 0.000, 0.799], [0.500, 0.500, 0.500], [0.500, 0.500, 0.000]]}


{"formula": "YTm2Cu", "functional": "PBE", "state": "relaxed", "final_energy_ev_per_cell": -19.5, "sg": "No. 160", "dos_at_fermi_per_ev_cell": 4.7, "lattice_angstrom": [[3.627, 0.000, 0.000], [1.814, 3.141, 0.000], [1.814, 1.047, 9.561]], "species": ["Tm", "Y", "Tm", "Cu"], "frac_coords": [[0.066, 0.066, 0.801], [0.501, 0.501, 0.497], [0.267, 0.267, 0.200], [0.666, 0.666, 0.002]]}


{"formula": "YTmCu10", "functional": "PBE", "state": "relaxed", "final_energy_ev_per_cell": -54.2, "sg": "No. 47", "dos_at_fermi_per_ev_cell": 7.8, "lattice_angstrom": [[-2.097, 1.596, 3.131], [3.399, -1.862, 3.226], [4.603, 7.298, -0.637]], "species": ["Cu", "Cu", "Cu", "Tm", "Cu", "Cu", "Cu", "Cu", "Cu", "Y", "Cu", "Cu"], "frac_coords": [[0.000, 0.500, 0.169], [0.500, 0.000, 0.500], [0.000, 0.500, 0.831], [0.000, 0.500, 0.500], [0.500, 0.251, 0.749], [0.500, 0.251, 0.251], [0.000, 0.000, 0.665], [0.500, 0.500, 0.000], [0.500, 0.749, 0.251], [0.000, 0.000, 0.000], [0.500, 0.749, 0.749], [0.000, 0.000, 0.335]]}


{"formula": "Y2TmCu9", "functional": "PBE", "state": "relaxed", "final_energy_ev_per_cell": -56.6, "sg": "No. 166", "dos_at_fermi_per_ev_cell": 7.6, "lattice_angstrom": [[5.140, 0.000, 0.000], [2.570, 4.451, 0.000], [2.570, 1.484, 8.343]], "species": ["Y", "Cu", "Cu", "Cu", "Y", "Cu", "Cu", "Cu", "Cu", "Cu", "Tm", "Cu"], "frac_coords": [[0.860, 0.860, 0.421], [0.668, 0.668, 0.997], [0.581, 0.082, 0.756], [0.918, 0.419, 0.244], [0.140, 0.140, 0.579], [0.500, 0.500, 0.500], [0.332, 0.332, 0.003], [0.419, 0.918, 0.244], [0.419, 0.419, 0.244], [0.082, 0.581, 0.756], [0.000, 0.000, 0.000], [0.581, 0.581, 0.756]]}